Record 1
DFT (PBE-GGA) results for CeNdPuAl after structural relaxation.

Output
Calculated volume: 103 Å³/cell
E_form: 13.4 meV/atom
Magnetic moment: 8.13 μB/f.u.
Symmetry: No. 216
Raw total energy: -7.181 eV per atom

Lattice parameters (Å, degrees): 5.268 5.268 5.268 60.00 60.00 60.00
Element x y z (fractional)
Al (0.250, 0.250, 0.250)
Ce (0.750, 0.750, 0.750)
Pu (0.000, 0.000, 0.000)
Nd (0.500, 0.500, 0.500)


Record 2
DFT (PBE-GGA) results for RbSb4Au6 after structural relaxation.

Output
Calculated volume: 283 Å³/cell
Formation energy (no corrections): -0.029 eV/atom
Magnetic moment: 0.00 μB/f.u.
Symmetry: No. 121
Raw total energy: -3.404 eV per atom

Lattice parameters (Å, degrees): 7.445 7.445 7.445 86.78 121.87 121.87
Element x y z (fractional)
Au (0.370, 0.561, 0.561)
Sb (0.604, 0.449, 0.449)
Au (0.500, 0.000, 0.500)
Au (0.000, 0.808, 0.439)
Au (0.630, 0.192, 0.192)
Sb (0.000, 0.155, 0.551)
Sb (0.396, 0.845, 0.845)
Au (0.500, 0.500, 0.000)
Rb (0.000, 0.000, 0.000)
Sb (0.000, 0.551, 0.155)
Au (0.000, 0.439, 0.808)


Record 3
DFT (PBE-GGA) results for Rb2AuCl after structural relaxation.

Output
Calculated volume: 137 Å³/cell
Polymorph energy (0 for the lowest one): 39 meV per atom
Formation energy (no corrections): -1.072 eV/atom
Magnetic moment: 0.00 μB/f.u.
Symmetry: No. 123
Raw total energy: -2.837 eV per atom

Lattice parameters (Å, degrees): 4.063 4.063 8.319 90.00 90.00 90.00
Element x y z (fractional)
Rb (0.000, 0.000, 0.764)
Cl (0.500, 0.500, 0.000)
Au (0.500, 0.500, 0.500)
Rb (0.000, 0.000, 0.236)


Record 4
DFT (PBE-GGA) results for Ce2DyScBi4 after structural relaxation.

Output
Calculated volume: 256 Å³/cell
E_form: -765.1 meV/atom
Magnetic moment: 1.71 μB/f.u.
Symmetry: No. 10
Raw total energy: -5.556 eV per atom

Lattice parameters (Å, degrees): 4.494 7.761 7.782 70.47 90.00 90.00
Element x y z (fractional)
Ce (0.000, 0.000, 0.000)
Bi (0.000, 0.266, 0.238)
Dy (0.000, 0.500, 0.500)
Bi (0.500, 0.738, 0.247)
Ce (0.500, 0.000, 0.500)
Sc (0.500, 0.500, 0.000)
Bi (0.000, 0.734, 0.762)
Bi (0.500, 0.262, 0.753)


Record 5
DFT (PBE-GGA) results for Mg2Al3Au4 after structural relaxation.

Output
Calculated volume: 330 Å³/cell
Polymorph energy (0 for the lowest one): 0 meV per atom
E_form: -451.2 meV/atom
Magnetic moment: 0.00 μB/f.u.
Symmetry: No. 64
Raw total energy: -3.510 eV per atom

Lattice parameters (Å, degrees): 5.692 7.229 8.505 90.00 109.55 90.00
Element x y z (fractional)
Au (0.670, 0.537, 0.339)
Au (0.681, 0.750, 0.863)
Al (0.013, 0.750, 0.526)
Au (0.170, 0.963, 0.339)
Mg (0.909, 0.395, 0.817)
Mg (0.091, 0.605, 0.183)
Al (0.500, 0.500, 0.000)
Al (0.987, 0.250, 0.474)
Au (0.319, 0.250, 0.137)
Au (0.830, 0.037, 0.661)
Al (0.000, 0.000, 0.000)
Al (0.487, 0.250, 0.474)
Al (0.513, 0.750, 0.526)
Au (0.181, 0.750, 0.863)
Mg (0.409, 0.105, 0.817)
Mg (0.591, 0.895, 0.183)
Au (0.330, 0.463, 0.661)
Au (0.819, 0.250, 0.137)


Record 6
DFT (PBE-GGA) results for SrPbCl2 after structural relaxation.

Output
Calculated volume: 160 Å³/cell
Polymorph energy (0 for the lowest one): 0 meV per atom
Formation energy (no corrections): -1.470 eV/atom
Magnetic moment: 0.00 μB/f.u.
Symmetry: No. 166
Raw total energy: -3.741 eV per atom

Lattice parameters (Å, degrees): 11.473 11.473 11.473 20.39 20.39 20.39
Element x y z (fractional)
Cl (0.119, 0.119, 0.119)
Cl (0.881, 0.881, 0.881)
Sr (0.500, 0.500, 0.500)
Pb (0.000, 0.000, 0.000)


Question: The lowest calculated volume belongs to which entry?
Answer: CeNdPuAl